# 1
LiBe3 after structural relaxation. Source: the Alexandria database, functional GGA-PBE.

The calculation puts the energy relative to the lowest polymorph listed for this composition at 0.123 eV/atom. For the density of states at the Fermi level, the calculation gives 0.15 states/eV per atom. As for the total magnetization: 0.00 μB/f.u. Its raw total energy is -49.9 eV for the cell shown. For the formation energy, the calculation gives 59 kJ/mol of formula units.

The structure belongs to space group Cmcm (No. 63); the cell edges are 5.438, 7.338 and 3.620 Å and the angles 90.00°, 90.00° and 90.00°. The distinct sites, in fractional coordinates, are Li at (0.000, 0.122, 0.250), Be at (0.000, 0.375, 0.750) and Be at (0.230, 0.373, 0.250).

---

# 2
RbZnI3 after structural relaxation. Source: the Alexandria database, functional GGA-PBE.

The calculation puts the energy relative to the lowest polymorph listed for this composition at 1.009 eV/atom. For the density of states at the Fermi level, the calculation gives 2.96 states/eV per atom. As for the total magnetization: 2.00 μB/f.u. Its raw total energy is -6.7 eV for the cell shown. The uncorrected formation energy is 0.05 eV per atom.

The structure belongs to space group Pm-3m (No. 221); the cell edges are 7.086, 7.086 and 7.086 Å and the angles 90.00°, 90.00° and 90.00°. The distinct sites, in fractional coordinates, are Rb at (0.000, 0.000, 0.000), Zn at (0.500, 0.500, 0.500) and I at (0.000, 0.000, 0.500).